Entry 1:
4
Lattice="-0.1024 0.3391 -5.6133 -1.8207 -2.5828 -4.6528 -3.2373 1.9619 0.1768" Properties=species:S:1:pos:R:3 comment="Cr2AsSe (PBE, relaxed)" e_above_lowest_polymorph_mev_per_atom=221 e_form_raw_ev_per_atom=-0.02 vol_a3_per_atom=17.83 m_tot_mub_per_atom=1.7446 pbc="T T T"
Se -3.0184 0.0639 -5.2055
Cr -3.4756 -0.4665 -7.6369
Cr -2.2996 -1.9669 -10.0973
As -0.8704 -0.2970 -2.4605

---

Entry 2:
7
Lattice="-0.5291 -3.3924 3.5579 -1.2597 -3.3655 -3.3962 9.0167 1.2085 -0.9426" Properties=species:S:1:pos:R:3 comment="Sm4CoSn2 (PBE, relaxed)" e_above_lowest_polymorph_mev_per_atom=71 vol_a3_per_atom=29.52 m_tot_mub_per_atom=0.0000 formation_enthalpy_0k_kcal_per_mol_atoms=-9.45 pbc="T T T"
Sm 4.3882 -4.7906 -0.4796
Sm 2.8397 -0.7588 -0.3013
Sm -0.2645 -1.6962 1.7790
Sm -0.6298 -1.6827 -1.6981
Sn 1.3582 -3.9809 -0.1581
Sn 5.8697 -1.5685 -0.6228
Co 0.0000 0.0000 0.0000

---

Entry 3:
14
Lattice="-1.3332 -6.3845 3.6450 0.1608 -0.8991 -4.8186 6.9963 2.5932 0.5878" Properties=species:S:1:pos:R:3 comment="MnPd4Au2 (PBE, relaxed)" e_above_lowest_polymorph_mev_per_atom=0 vol_a3_per_atom=16.02 m_tot_mub_per_atom=0.6930 formation_enthalpy_0k_kcal_per_mol_atoms=-3.65 pbc="T T T"
Pd 5.4946 -2.5425 3.0926
Pd 2.8319 -3.4726 -1.8115
Pd -0.0145 -5.6024 0.1439
Pd 5.4825 -0.5494 1.0678
Pd 2.8238 -5.5101 0.2311
Pd 2.6652 -0.6312 0.9644
Pd 1.3133 -5.1167 2.5954
Pd 1.2947 -1.1326 -1.4864
Au 4.1813 -3.0045 0.6182
Au 5.4507 1.3924 -0.9660
Au 1.3219 -3.0925 0.5619
Au -0.0484 -3.5964 -1.8991
Mn 0.0233 -1.5837 -3.9524
Mn 4.0754 -1.0590 -1.4388

---

Entry 4:
4
Lattice="3.5844 0.0000 0.0000 0.0000 3.5844 0.0000 0.0000 0.0000 10.0914" Properties=species:S:1:pos:R:3 comment="PmGdDy2 (PBE, relaxed)" e_above_lowest_polymorph_mev_per_atom=6 vol_a3_per_atom=32.41 m_tot_mub_per_atom=1.8022 formation_enthalpy_0k_kcal_per_mol_atoms=0.50 pbc="T T T"
Dy 0.0000 0.0000 2.5080
Dy 0.0000 0.0000 7.5833
Pm 1.7922 1.7922 5.0457
Gd 1.7922 1.7922 0.0000

---

Entry 5:
7
Lattice="-3.2223 4.6395 1.9982 -4.6823 -3.6327 0.8839 -0.9333 -1.2261 10.3251" Properties=species:S:1:pos:R:3 comment="Rb4BSb2 (PBE, relaxed)" e_form_raw_ev_per_atom=0.62 vol_a3_per_atom=48.93 m_tot_mub_per_atom=0.5992 pbc="T T T"
Rb -1.6111 2.3198 0.9991
Rb -2.0093 -0.6097 7.1586
Rb -6.8285 0.3904 6.0486
Rb -2.3411 -1.8163 0.4420
Sb -5.6418 -0.2895 9.5408
Sb -3.1960 0.0702 3.6665
B 0.0000 0.0000 0.0000

---

Entry 6:
4
Lattice="-0.5360 -1.7396 2.0706 0.6882 -2.1280 -1.6120 7.6820 0.5977 2.4908" Properties=species:S:1:pos:R:3 comment="NiMoP2 (PBE, relaxed)" vol_a3_per_atom=15.39 m_tot_mub_per_atom=0.0000 formation_enthalpy_0k_kcal_per_mol_atoms=0.70 pbc="T T T"
Mo 4.0200 0.3128 1.3034
P 2.4419 -1.7497 0.9964
P 7.0130 0.5457 2.2739
Ni 5.8824 -1.4820 2.1119

---

Entry 7:
4
Lattice="-1.5522 -2.7732 -1.7663 -1.2971 -2.8421 1.8600 -10.6085 3.0422 0.8039" Properties=species:S:1:pos:R:3 comment="Tb2NdCd (PBE, relaxed)" e_above_lowest_polymorph_mev_per_atom=90 vol_a3_per_atom=31.10 m_tot_mub_per_atom=0.0001 formation_enthalpy_0k_kcal_per_mol_atoms=-1.33 pbc="T T T"
Tb -8.4046 1.9210 0.6276
Tb -3.1497 -0.7525 0.2072
Nd -6.7298 -1.2861 0.4489
Cd -1.9026 -3.7420 0.0627

---

Entry 8:
6
Lattice="3.9091 0.0000 -1.1075 -0.6212 5.4788 -2.1924 -0.0335 -0.2821 7.3344" Properties=species:S:1:pos:R:3 comment="Pr3IrS2 (PBE, relaxed)" e_form_raw_ev_per_atom=-1.49 vol_a3_per_atom=25.71 m_tot_mub_per_atom=0.0000 pbc="T T T"
S 0.7596 4.3723 2.6812
S 2.4948 0.8243 1.3532
Pr 0.0000 0.0000 0.0000
Pr 1.0970 1.6738 3.8721
Pr 2.1575 3.5228 0.1623
Ir -0.3106 2.7394 -1.0962

---

Entry 9:
8
Lattice="-1.7279 4.2526 2.7627 1.4846 -2.3666 4.5714 6.2788 3.8995 3.1191" Properties=species:S:1:pos:R:3 comment="AlIn2F (PBE, relaxed)" e_above_lowest_polymorph_mev_per_atom=33 e_form_raw_ev_per_atom=-0.48 vol_a3_per_atom=25.37 m_tot_mub_per_atom=0.0000 pbc="T T T"
F -0.1217 0.9430 3.6671
F 3.8208 1.2379 5.6788
In 4.7125 3.4809 5.3812
In 4.4015 4.7258 8.4652
In 0.7855 3.0657 2.9017
In 2.1714 0.2985 4.1584
Al 0.0000 0.0000 0.0000
Al 2.2146 4.5475 4.7745

---

Entry 10:
5
Lattice="-2.6013 2.5849 -2.6784 -3.6316 -2.4792 1.1344 -4.3160 4.1543 4.3515" Properties=species:S:1:pos:R:3 comment="SrTl2Au2 (PBE, relaxed)" e_above_lowest_polymorph_mev_per_atom=11 vol_a3_per_atom=27.52 m_tot_mub_per_atom=0.0000 formation_enthalpy_0k_kcal_per_mol_atoms=-8.56 pbc="T T T"
Sr 0.0000 0.0000 0.0000
Tl -5.5321 0.8640 2.3570
Tl -5.0169 3.3961 0.4506
Au -7.1897 3.3769 2.5423
Au -3.3593 0.8832 0.2652

---

| no. | theoretical density (g cm⁻³) |
| --- | --- |
| 1 | 6.00 |
| 2 | 7.22 |
| 3 | 12.95 |
| 4 | 8.03 |
| 5 | 2.89 |
| 6 | 5.84 |
| 7 | 7.67 |
| 8 | 7.31 |
| 9 | 4.51 |
| 10 | 10.75 |